# 1
This record from the Alexandria database describes a geometry-optimized P structure. The functional is PBE.

a b c (Å): 3.980 3.980 4.930
angles (deg): 90.00 90.00 120.00
Fractional positions:
P (0.000, 0.000, 0.250)
P (0.000, 0.000, 0.750)
P (0.333, 0.667, 0.250)
P (0.667, 0.333, 0.750)

Results
energy of formation: 0.54 eV/atom
SG: P6_3/mmc, No. 194
V: 68 Å³/cell



# 2
This record from the Alexandria database describes a geometry-optimized P structure. The functional is PBE.

a b c (Å): 3.293 3.293 3.226
angles (deg): 90.00 90.00 120.00
Fractional positions:
P (0.333, 0.667, 0.250)
P (0.667, 0.333, 0.750)

Results
energy of formation: 0.43 eV/atom
SG: P6_3/mmc, No. 194
V: 30 Å³/cell